Computed, not measured: crystalline MgIn8Hg2 at its relaxed geometry at the PBE-GGA level of DFT.

Values from the calculation:
Its total energy is -0.159 Ry per atom. The spin magnetization is 0.00 μB/f.u. As for the mass density: 7.54 g/cm³. The formation energy comes out at 24 meV per atom. For the volume, the calculation gives 295.8 Å³/f.u. The space group is No. 123.

Lattice parameters (Å, degrees): 4.5539 4.5539 14.2653 90.00 90.00 90.00
Last column: nearest neighbours and their distance in Å.
Positions (direct):
In: 0.5000 0.5000 0.6822  4 Hg 3.22, 8 In 3.35-3.45
In: 0.5000 0.0000 0.5000  8 In 3.22-3.45, 4 Hg 3.40
In: 0.5000 0.0000 0.1454  2 Mg 3.08, 6 In 3.22-3.35, 2 Hg 3.41
Hg: 0.0000 0.0000 0.3233  12 In 3.22-3.41
In: 0.5000 0.5000 0.3178  4 Hg 3.22, 8 In 3.35-3.45
Mg: 0.0000 0.0000 0.0000  8 In 3.08
In: 0.0000 0.5000 0.8546  2 Mg 3.08, 6 In 3.22-3.35, 2 Hg 3.41
Hg: 0.0000 0.0000 0.6767  12 In 3.22-3.41
In: 0.0000 0.5000 0.5000  8 In 3.22-3.45, 4 Hg 3.40
In: 0.5000 0.0000 0.8546  2 Mg 3.08, 6 In 3.22-3.35, 2 Hg 3.41
In: 0.0000 0.5000 0.1454  2 Mg 3.08, 6 In 3.22-3.35, 2 Hg 3.41